! PBE-GGA Li2Mg5Tl5, relaxed; values from VASP
! Space-group type = No. 12
! Energy of formation = -0.08 eV/atom
! Crystal system = monoclinic
! Energy = -2.05 eV/atom
&SYSTEM
  ibrav = 0, nat = 12, ntyp = 3
/
ATOMIC_SPECIES
Li 6.94 Li.upf
Tl 204.38 Tl.upf
Mg 24.30 Mg.upf
CELL_PARAMETERS angstrom
4.168 0.000 0.891
1.795 7.130 1.797
0.102 0.693 9.723
ATOMIC_POSITIONS crystal
Li 0.073 0.596 0.257
Li 0.927 0.404 0.743
Tl 0.599 0.062 0.740
Tl 0.401 0.938 0.260
Tl 0.500 0.500 0.500
Tl 0.344 0.335 0.977
Tl 0.656 0.665 0.023
Mg 0.836 0.828 0.500
Mg 0.164 0.172 0.500
Mg 0.000 0.000 0.000
Mg 0.748 0.261 0.242
Mg 0.252 0.739 0.758